# 1
TaSiSn2O PBE relaxed; ΔE_f (raw) = 0.04 eV per atom
1.0
-2.0423 -3.3381 -3.1268
1.7930 -2.6087 1.6138
-3.8119 -0.6503 3.1839
Sn Si Ta O
2 1 1 1
direct
0.5000 0.0000 0.0000
0.0000 0.0000 0.5000
0.0000 0.5000 0.0000
0.5000 0.5000 0.5000
0.0000 0.0000 0.0000

# 2
Ga4Sb2TeAs PBE relaxed; ΔE_f (raw) = -0.16 eV per atom
1.0
6.2693 0.1336 0.0000
-0.3869 6.2588 0.0000
-2.9412 -3.1962 6.0238
As Ga Te Sb
1 4 1 2
direct
0.5027 0.5027 0.0055
0.8516 0.3878 0.2393
0.1437 0.1437 0.7509
0.6072 0.6072 0.7509
0.3878 0.8516 0.2393
0.0039 0.0039 0.0077
0.7517 0.2517 0.5034
0.2517 0.7517 0.5034

# 3
PmEuGe PBE relaxed; offset from the most stable computed form = 0.0 kJ per mole of atoms
1.0
-2.6940 -0.0150 4.3438
-4.0580 -3.0707 0.4800
0.2084 -4.0414 3.1226
Pm Ge Eu
1 1 1
direct
0.0000 0.0000 0.0000
0.2500 0.2500 0.2500
0.5000 0.5000 0.5000

# 4
Tl2BiPd PBE relaxed; offset from the most stable computed form = 12.4 kJ per mole of atoms
1.0
0.0000 3.7195 3.7195
3.7195 0.0000 3.7195
3.7195 3.7195 0.0000
Bi Tl Pd
1 2 1
direct
0.5000 0.5000 0.5000
0.2500 0.2500 0.2500
0.7500 0.7500 0.7500
0.0000 0.0000 0.0000

# 5
ZrCuW PBE relaxed; offset from the most stable computed form = 46.2 kJ per mole of atoms
1.0
-0.0652 -0.6862 -4.2388
-1.2560 -3.8071 -1.5398
-3.7513 -0.3510 -2.0610
W Cu Zr
1 1 1
direct
0.0000 0.0000 0.0000
0.2500 0.2500 0.2500
0.5000 0.5000 0.5000

# 6
LaPm2N3 PBE relaxed; ΔE_f (raw) = -1.39 eV per atom
1.0
-2.6123 -0.9359 5.6999
-0.9336 -4.2116 -4.6454
6.0532 -1.2854 1.3893
N La Pm
6 2 4
direct
0.4179 0.0797 0.2538
0.2488 0.2536 0.7462
0.0897 0.4230 0.2550
0.5770 0.9103 0.7450
0.9203 0.5821 0.7462
0.7464 0.7512 0.2538
0.6664 0.3336 0.0000
0.0003 0.9997 0.0000
0.4986 0.5014 0.5000
0.1680 0.8320 0.5000
0.3333 0.6667 0.0000
0.8333 0.1667 0.5000

D(E_F) for every record listed, in sequence, given in states/eV per cell: 3.52, 2.26, 9.52, 2.94, 4.11, 0.12.
Mass density for every record listed, in sequence, given in g/cm³: 8.6, 5.1, 6.5, 11.7, 10.0, 7.5.